# AcNdCoGe

A relaxed structure of AcNdCoGe (PBE-GGA, Alexandria).

Geometry as POSCAR:
```
AcNdCoGe
1.0
5.253 0.000 0.000
2.626 4.549 0.000
2.626 1.516 4.289
Nd Ac Ge Co
1 1 1 1
Cartesian
5.253 3.033 2.144 Nd
0.000 0.000 0.000 Ac
2.626 1.516 1.072 Ge
7.879 4.549 3.217 Co
```

Values from the calculation:
* SG: F-43m, No. 216
* energy relative to the elements: -191 meV/atom
* E: -21.4 eV per cell
* ρ: 8.148 g/cm3